CoMoH24N6ClO7, relaxed, DFT GGA+U; V = 8.83 A^3/atom; raw total energy = -835.8 eV for the cell shown
1.0
8.358 0.000 0.000
0.000 8.921 0.000
0.000 0.000 18.945
O H N Mo Cl Co
28 96 24 4 4 4
Direct
0.584 0.413 0.151 O
0.509 0.250 0.017 O
0.491 0.750 0.983 O
0.084 0.913 0.349 O
0.668 0.250 0.575 O
0.959 0.545 0.085 O
0.916 0.087 0.651 O
0.991 0.250 0.517 O
0.812 0.750 0.995 O
0.416 0.587 0.849 O
0.584 0.087 0.151 O
0.459 0.455 0.415 O
0.009 0.750 0.483 O
0.541 0.545 0.585 O
0.916 0.413 0.651 O
0.084 0.587 0.349 O
0.459 0.045 0.415 O
0.541 0.955 0.585 O
0.041 0.045 0.915 O
0.041 0.455 0.915 O
0.959 0.955 0.085 O
0.832 0.250 0.075 O
0.312 0.250 0.505 O
0.332 0.750 0.425 O
0.168 0.750 0.925 O
0.188 0.250 0.005 O
0.416 0.913 0.849 O
0.688 0.750 0.495 O
0.402 0.155 0.867 H
0.048 0.880 0.777 H
0.639 0.133 0.947 H
0.186 0.570 0.086 H
0.548 0.380 0.723 H
0.121 0.491 0.723 H
0.621 0.991 0.777 H
0.314 0.930 0.586 H
0.036 0.841 0.165 H
0.097 0.394 0.951 H
0.882 0.750 0.707 H
0.861 0.133 0.447 H
0.964 0.159 0.835 H
0.920 0.060 0.080 H
0.686 0.430 0.414 H
0.548 0.120 0.723 H
0.048 0.620 0.777 H
0.597 0.894 0.549 H
0.560 0.250 0.259 H
0.964 0.341 0.835 H
0.920 0.440 0.080 H
0.382 0.250 0.793 H
0.097 0.106 0.951 H
0.139 0.499 0.614 H
0.139 0.867 0.553 H
0.139 0.001 0.614 H
0.186 0.930 0.086 H
0.940 0.250 0.759 H
0.314 0.570 0.586 H
0.464 0.841 0.665 H
0.639 0.999 0.886 H
0.258 0.579 0.279 H
0.580 0.060 0.580 H
0.536 0.341 0.335 H
0.598 0.655 0.133 H
0.814 0.430 0.914 H
0.402 0.345 0.867 H
0.758 0.421 0.221 H
0.692 0.750 0.992 H
0.758 0.079 0.221 H
0.361 0.867 0.053 H
0.580 0.440 0.580 H
0.464 0.659 0.665 H
0.361 0.633 0.053 H
0.808 0.750 0.492 H
0.952 0.120 0.223 H
0.258 0.921 0.279 H
0.036 0.659 0.165 H
0.440 0.750 0.741 H
0.618 0.750 0.207 H
0.361 0.001 0.114 H
0.347 0.250 0.554 H
0.242 0.579 0.779 H
0.903 0.606 0.049 H
0.861 0.367 0.447 H
0.121 0.009 0.723 H
0.814 0.070 0.914 H
0.639 0.367 0.947 H
0.621 0.509 0.777 H
0.861 0.999 0.386 H
0.952 0.380 0.223 H
0.742 0.079 0.721 H
0.118 0.250 0.293 H
0.902 0.655 0.633 H
0.903 0.894 0.049 H
0.452 0.880 0.277 H
0.639 0.501 0.886 H
0.153 0.250 0.054 H
0.420 0.560 0.420 H
0.902 0.845 0.633 H
0.192 0.250 0.508 H
0.139 0.633 0.553 H
0.379 0.009 0.223 H
0.597 0.606 0.549 H
0.879 0.509 0.277 H
0.861 0.501 0.386 H
0.403 0.106 0.451 H
0.080 0.940 0.920 H
0.653 0.750 0.446 H
0.598 0.845 0.133 H
0.403 0.394 0.451 H
0.420 0.940 0.420 H
0.098 0.345 0.367 H
0.452 0.620 0.277 H
0.847 0.750 0.946 H
0.098 0.155 0.367 H
0.242 0.921 0.779 H
0.060 0.750 0.241 H
0.536 0.159 0.335 H
0.879 0.991 0.277 H
0.361 0.499 0.114 H
0.379 0.491 0.223 H
0.080 0.560 0.920 H
0.308 0.250 0.008 H
0.686 0.070 0.414 H
0.742 0.421 0.721 H
0.804 0.404 0.402 N
0.855 0.407 0.254 N
0.804 0.096 0.402 N
0.645 0.093 0.754 N
0.560 0.750 0.158 N
0.196 0.904 0.598 N
0.304 0.596 0.098 N
0.696 0.096 0.902 N
0.145 0.907 0.746 N
0.060 0.250 0.342 N
0.940 0.750 0.658 N
0.090 0.750 0.189 N
0.910 0.250 0.811 N
0.410 0.750 0.689 N
0.355 0.907 0.246 N
0.304 0.904 0.098 N
0.590 0.250 0.311 N
0.696 0.404 0.902 N
0.645 0.407 0.754 N
0.145 0.593 0.746 N
0.440 0.250 0.842 N
0.855 0.093 0.254 N
0.196 0.596 0.598 N
0.355 0.593 0.246 N
0.624 0.250 0.098 Mo
0.124 0.750 0.402 Mo
0.876 0.250 0.598 Mo
0.376 0.750 0.902 Mo
0.189 0.250 0.180 Cl
0.689 0.750 0.320 Cl
0.311 0.250 0.680 Cl
0.811 0.750 0.820 Cl
0.175 0.750 0.673 Co
0.675 0.250 0.827 Co
0.325 0.750 0.173 Co
0.825 0.250 0.327 Co